# 1
Density functional theory data (PBE-GGA) for Ho6TmSe8 after structural relaxation.

```
Ho6TmSe8
1.0
0.000 5.713 5.713
5.713 0.000 5.713
5.713 5.713 0.000
Ho Tm Se
6 1 8
Cartesian
2.856 2.856 0.000
2.856 0.000 2.856
5.713 2.856 2.856
0.000 2.856 2.856
2.856 5.713 2.856
2.856 2.856 5.713
0.000 0.000 0.000
2.856 2.856 2.856
5.713 5.713 2.876
5.713 2.876 5.713
8.550 5.713 5.713
2.876 5.713 5.713
5.713 8.550 5.713
5.713 5.713 8.550
8.569 8.569 8.569
```

Summary:
* uncorrected energy: -86.96 eV per cell
* uncorrected formation energy: -27.14 eV/f.u.
* spin magnetization: 0.00 μB/atom

---

# 2
Density functional theory data (PBE-GGA) for HoTmSe3 after structural relaxation.

```
HoTmSe3
1.0
3.566 2.059 6.444
-3.566 2.059 6.444
0.000 -4.118 6.444
Ho Tm Se
2 2 6
Cartesian
0.000 0.000 2.942
0.000 0.000 16.390
0.000 0.000 6.704
0.000 0.000 12.628
-2.461 -0.175 8.046
-1.079 -2.219 11.285
1.383 -2.044 8.046
-1.383 2.044 11.285
1.079 2.219 8.046
2.461 0.175 11.285
```

Summary:
* uncorrected energy: -57.44 eV per cell
* E above lowest polymorph: 0.0000 eV per atom
* uncorrected formation energy: -9.22 eV/f.u.
* spin magnetization: 0.00 μB/atom

---

# 3
Density functional theory data (PBE-GGA) for Ho2TmSe after structural relaxation.

```
Ho2TmSe
1.0
1.838 1.061 10.265
-1.838 1.061 10.265
0.000 -2.122 10.265
Ho Tm Se
2 1 1
Cartesian
0.000 0.000 3.317
0.000 0.000 27.477
0.000 0.000 0.000
0.000 0.000 15.397
```

Summary:
* uncorrected energy: -19.16 eV per cell
* E above lowest polymorph: 0.2889 eV per atom
* uncorrected formation energy: -2.05 eV/f.u.
* spin magnetization: 0.00 μB/atom

---

# 4
Density functional theory data (PBE-GGA) for HoTm4Se5 after structural relaxation.

```
HoTm4Se5
1.0
-2.008 2.008 14.293
2.008 -2.008 14.293
2.008 2.008 -14.293
Ho Tm Se
1 4 5
Cartesian
0.000 0.000 0.000
0.000 0.000 5.831
0.000 0.000 11.509
0.000 0.000 17.077
0.000 0.000 22.755
0.000 0.000 2.918
0.000 0.000 8.654
0.000 0.000 14.293
0.000 0.000 19.932
0.000 0.000 25.668
```

Summary:
* uncorrected energy: -56.57 eV per cell
* uncorrected formation energy: -16.69 eV/f.u.
* spin magnetization: 0.00 μB/atom

---

# 5
Density functional theory data (PBE-GGA) for HoTm5Se6 after structural relaxation.

```
HoTm5Se6
1.0
3.482 -6.050 0.000
3.482 6.050 0.000
-2.334 0.000 6.547
Ho Tm Se
1 5 6
Cartesian
0.000 0.000 0.000
2.315 4.061 3.274
3.482 2.011 0.000
2.315 0.000 3.274
3.482 -2.011 0.000
2.315 -4.061 3.274
1.167 2.035 1.649
0.010 0.000 4.909
1.167 -2.035 1.649
3.463 2.035 4.898
4.621 0.000 1.638
3.463 -2.035 4.898
```

Summary:
* uncorrected energy: -67.87 eV per cell
* uncorrected formation energy: -20.03 eV/f.u.
* spin magnetization: 0.00 μB/atom

---

# 6
Density functional theory data (PBE-GGA) for HoTm4Se6 after structural relaxation.

```
HoTm4Se6
1.0
1.970 -6.602 0.000
1.970 6.602 0.000
0.000 0.000 20.495
Ho Tm Se
2 8 12
Cartesian
1.970 4.601 15.372
1.970 -4.601 5.124
1.970 5.414 2.594
1.970 5.414 7.654
1.970 1.854 0.776
1.970 1.854 9.472
1.970 -1.854 11.023
1.970 -1.854 19.720
1.970 -5.414 12.841
1.970 -5.414 17.902
0.000 0.000 0.000
0.000 0.000 10.248
1.970 4.096 5.124
1.970 3.057 12.099
1.970 3.057 18.644
1.970 0.687 3.395
1.970 0.687 6.853
1.970 -0.687 13.643
1.970 -0.687 17.100
1.970 -3.057 1.852
1.970 -3.057 8.396
1.970 -4.096 15.372
```

Summary:
* uncorrected energy: -125.64 eV per cell
* uncorrected formation energy: -19.45 eV/f.u.
* spin magnetization: 0.00 μB/atom

---

# 7
Density functional theory data (PBE-GGA) for Ho2Tm2Se3 after structural relaxation.

```
Ho2Tm2Se3
1.0
6.644 -1.958 0.000
6.644 1.958 0.000
-1.295 0.000 6.729
Ho Tm Se
2 2 3
Cartesian
1.176 0.000 2.388
10.818 0.000 4.341
4.966 0.000 0.754
7.028 0.000 5.975
2.211 0.000 5.038
5.997 0.000 3.365
9.783 0.000 1.691
```

Summary:
* uncorrected energy: -38.54 eV per cell
* uncorrected formation energy: -9.99 eV/f.u.
* spin magnetization: 0.00 μB/atom

---

# 8
Density functional theory data (PBE-GGA) for HoTm3Se6 after structural relaxation.

```
HoTm3Se6
1.0
5.920 3.418 4.726
-5.920 3.418 4.726
0.000 -6.836 4.726
Ho Tm Se
2 6 12
Cartesian
0.000 0.000 0.000
0.000 0.000 7.089
-3.996 -1.174 6.593
-0.981 -4.048 7.584
-3.015 2.874 7.584
3.015 -2.874 6.593
0.981 4.048 6.593
3.996 1.174 7.584
-3.797 -3.748 7.663
-5.145 1.415 6.514
-1.366 -1.996 5.609
1.347 -5.163 6.514
-2.412 0.185 8.568
-1.045 2.181 5.609
1.045 -2.181 8.568
2.412 -0.185 5.609
-1.347 5.163 7.663
1.366 1.996 8.568
5.145 -1.415 7.663
3.797 3.748 6.514
```

Summary:
* uncorrected energy: -114.11 eV per cell
* E above lowest polymorph: 0.0247 eV per atom
* uncorrected formation energy: -18.16 eV/f.u.
* spin magnetization: 0.00 μB/atom

---

# 9
Density functional theory data (PBE-GGA) for Ho4Tm3Se8 after structural relaxation.

```
Ho4Tm3Se8
1.0
5.689 -5.690 0.000
5.689 5.690 0.000
-5.686 0.000 5.691
Ho Tm Se
4 3 8
Cartesian
0.000 0.000 0.000
2.844 2.845 0.000
2.844 -2.845 0.000
2.846 0.000 2.845
0.001 2.845 2.845
0.001 -2.845 2.845
5.689 0.000 0.000
2.846 2.895 2.845
-0.050 0.000 2.859
-2.828 0.000 5.641
5.689 2.832 0.000
5.689 -2.832 0.000
8.520 0.000 0.049
5.741 0.000 2.832
2.846 -2.895 2.845
```

Summary:
* uncorrected energy: -86.49 eV per cell
* uncorrected formation energy: -26.89 eV/f.u.
* spin magnetization: 0.00 μB/atom

---

# 10
Density functional theory data (PBE-GGA) for Ho3TmSe4 after structural relaxation.

```
Ho3TmSe4
1.0
5.722 0.000 0.000
0.000 5.722 0.000
0.000 0.000 5.722
Ho Tm Se
3 1 4
Cartesian
0.000 0.000 2.861
0.000 2.861 0.000
2.861 0.000 0.000
2.861 2.861 2.861
0.000 0.000 0.000
0.000 2.861 2.861
2.861 0.000 2.861
2.861 2.861 0.000
```

Summary:
* uncorrected energy: -45.69 eV per cell
* E above lowest polymorph: 0.0139 eV per atom
* uncorrected formation energy: -13.55 eV/f.u.
* spin magnetization: 0.00 μB/atom

---

# 11
Density functional theory data (PBE-GGA) for HoTm2Se2 after structural relaxation.

```
HoTm2Se2
1.0
1.934 1.117 9.880
-1.934 1.117 9.880
0.000 -2.233 9.880
Ho Tm Se
1 2 2
Cartesian
0.000 0.000 0.000
0.000 0.000 6.284
0.000 0.000 23.355
0.000 0.000 11.641
0.000 0.000 17.997
```

Summary:
* uncorrected energy: -27.24 eV per cell
* uncorrected formation energy: -6.75 eV/f.u.
* spin magnetization: 0.08 μB/atom

---

# 12
Density functional theory data (PBE-GGA) for Ho3TmSe6 after structural relaxation.

```
Ho3TmSe6
1.0
5.944 3.432 4.739
-5.944 3.432 4.739
0.000 -6.864 4.739
Ho Tm Se
6 2 12
Cartesian
-3.026 -2.886 6.615
-4.013 1.177 7.602
0.987 -4.064 7.602
-0.987 4.064 6.615
4.013 -1.177 6.615
3.026 2.886 7.602
0.000 0.000 0.000
0.000 0.000 7.108
-5.171 -1.428 7.716
-1.349 -5.192 6.501
-2.393 -0.190 5.632
-3.822 3.764 6.501
-1.032 -2.167 8.584
1.361 -1.977 5.632
-1.361 1.977 8.584
1.032 2.167 5.632
3.822 -3.764 7.716
2.393 0.190 8.584
1.349 5.192 7.716
5.171 1.428 6.501
```

Summary:
* uncorrected energy: -114.96 eV per cell
* E above lowest polymorph: 0.0094 eV per atom
* uncorrected formation energy: -18.37 eV/f.u.
* spin magnetization: 0.00 μB/atom